Record 1
Li17Cr2O12: PBEsol geometry, SCAN.

Volume (A^3/atom): 8.20
Electronic total energy (eV per cell): -217.0
Fermi-level density of states (states/eV per atom): 0.25
Total moment (μB/atom): 0.16

The structure in extended XYZ format:
```
31
Lattice="5.213 0.074 -0.027 0.052 6.017 0.155 -0.055 -0.739 8.090" Properties=species:S:1:pos:R:3 pbc="T T T"
Li 4.873 1.203 6.475
Li 4.531 4.197 3.038
Li 4.317 2.721 0.516
Li 4.362 5.088 6.127
Li 3.482 0.093 3.736
Li 3.343 2.912 6.202
Li 3.365 4.651 1.240
Li 2.706 1.123 1.502
Li 2.548 4.975 7.530
Li 1.921 1.066 7.131
Li 1.722 4.498 5.133
Li 1.559 3.266 1.634
Li 1.162 5.427 2.639
Li 0.829 3.333 7.367
Li 0.931 0.859 4.889
Li 5.188 1.657 2.574
Li 0.020 3.005 4.814
Cr 2.633 2.574 3.909
Cr 0.012 0.125 0.226
O 4.436 -0.086 1.951
O 4.221 3.780 7.645
O 4.166 1.576 4.718
O 3.623 0.447 7.604
O 3.554 4.223 4.701
O 3.452 2.888 2.186
O 1.832 0.940 3.313
O 1.572 2.481 5.826
O 1.580 5.043 0.825
O 1.103 3.663 3.440
O 0.824 1.831 0.626
O 0.853 -0.448 6.382
```



Record 2
Li6CrO4: PBEsol geometry, SCAN.

Volume (A^3/atom): 9.04
Electronic total energy (eV per cell): -158.1
Total moment (μB/atom): 0.36

The structure in extended XYZ format:
```
22
Lattice="4.505 0.000 0.000 0.000 6.645 0.000 0.000 0.000 6.645" Properties=species:S:1:pos:R:3 pbc="T T T"
Li 1.891 3.322 0.000
Li 4.143 3.322 0.000
Li 0.362 0.000 3.322
Li 2.614 0.000 3.322
Li 2.252 1.897 1.897
Li 2.252 1.897 4.748
Li 2.252 4.748 1.897
Li 2.252 4.748 4.748
Li 0.000 5.220 5.220
Li 0.000 5.220 1.425
Li 0.000 1.425 5.220
Li 0.000 1.425 1.425
Cr 2.252 0.000 0.000
Cr 0.000 3.322 3.322
O 3.071 1.796 0.000
O 0.818 3.322 5.118
O 0.818 3.322 1.527
O 3.071 4.849 0.000
O 3.686 5.118 3.322
O 1.434 0.000 4.849
O 1.434 0.000 1.796
O 3.686 1.527 3.322
```



Record 3
LiCr2O4: PBEsol geometry, SCAN.

Volume (A^3/atom): 9.83
Electronic total energy (eV per cell): -80.5
Distance to the lowest polymorph of the same formula (eV/atom): 0.068
Fermi-level density of states (states/eV per atom): 0.57
Total moment (μB/atom): 0.71

The structure in extended XYZ format:
```
7
Lattice="2.884 0.000 0.000 0.000 4.982 0.011 0.000 -1.741 4.788" Properties=species:S:1:pos:R:3 pbc="T T T"
Cr 0.000 1.621 2.399
Cr 1.442 -0.870 2.394
O 0.000 -0.023 3.422
O 1.442 2.431 3.369
O 1.442 0.810 1.429
O 0.000 3.264 1.377
Li 1.442 2.491 0.005
```



Record 4
Li4CrO5: PBEsol geometry, SCAN.

Volume (A^3/atom): 9.38
Electronic total energy (eV per cell): -160.6
Distance to the lowest polymorph of the same formula (eV/atom): 0.000
Total moment (μB/atom): 0.00

The structure in extended XYZ format:
```
20
Lattice="-0.445 3.913 3.322 -4.384 2.629 -0.644 -4.101 -3.812 5.308" Properties=species:S:1:pos:R:3 pbc="T T T"
Li -3.051 -0.255 1.750
Li -3.807 -1.738 5.707
Li -3.047 1.089 4.088
Li -6.442 -1.255 5.389
Li -2.489 3.986 2.596
Li -5.884 1.642 3.897
Li -5.124 4.469 2.278
Li -5.879 2.985 6.235
Cr -4.739 1.895 1.358
Cr -4.192 0.836 6.627
O -1.621 0.124 2.973
O -5.004 -2.216 4.285
O -4.455 0.825 2.668
O -5.091 -0.619 6.746
O -1.983 2.794 4.133
O -6.948 -0.063 3.852
O -3.839 3.350 1.239
O -4.476 1.905 5.317
O -3.927 4.947 3.700
O -7.310 2.606 5.012
```



Record 5
Li4CrO4: PBEsol geometry, SCAN.

Volume (A^3/atom): 9.65
Electronic total energy (eV per cell): -145.7
Distance to the lowest polymorph of the same formula (eV/atom): 0.005
Fermi-level density of states (states/eV per atom): 0.00
Total moment (μB/atom): 0.22

The structure in extended XYZ format:
```
18
Lattice="5.091 0.005 0.004 1.917 4.750 -0.008 0.923 2.340 7.185" Properties=species:S:1:pos:R:3 pbc="T T T"
Li 2.691 3.482 7.150
Li 5.463 3.724 5.691
Li 6.134 5.755 4.196
Li 2.675 3.647 4.050
Li 5.256 3.449 3.131
Li 1.797 1.340 2.985
Li 2.468 3.372 1.490
Li 5.240 3.614 0.030
Cr 3.446 5.794 5.555
Cr 4.485 1.302 1.626
O 4.245 6.293 7.019
O 1.965 4.844 5.782
O 4.388 4.766 4.422
O 1.064 2.372 4.486
O 6.867 4.724 2.694
O 3.543 2.329 2.758
O 5.966 2.252 1.399
O 3.686 0.803 0.161
```



Record 6
LiCr2O5: PBEsol geometry, SCAN.

Volume (A^3/atom): 11.66
Electronic total energy (eV per cell): -349.6
Fermi-level density of states (states/eV per atom): 0.24
Total moment (μB/atom): 0.38

The structure in extended XYZ format:
```
32
Lattice="5.911 0.000 0.000 0.000 7.932 0.000 0.000 0.000 7.955" Properties=species:S:1:pos:R:3 pbc="T T T"
Li 4.433 1.187 2.764
Li 4.433 2.779 6.742
Li 1.478 5.153 1.214
Li 1.478 6.745 5.191
Cr 0.000 0.000 0.000
Cr 2.955 0.000 0.000
Cr 1.478 1.234 2.639
Cr 1.478 2.732 6.617
Cr 0.000 3.966 3.978
Cr 2.955 3.966 3.978
Cr 4.433 5.200 1.339
Cr 4.433 6.698 5.316
O 4.433 7.704 4.065
O 0.120 0.974 1.683
O 2.835 0.974 1.683
O 4.433 1.024 7.479
O 1.478 1.090 7.194
O 1.478 2.876 3.216
O 4.433 2.942 3.501
O 2.835 2.992 5.661
O 0.120 2.992 5.661
O 4.433 4.194 0.088
O 1.478 3.738 7.868
O 5.790 4.940 2.295
O 3.076 4.940 2.295
O 1.478 4.990 4.454
O 4.433 5.056 4.739
O 4.433 6.842 0.762
O 1.478 6.908 0.477
O 5.790 6.958 6.272
O 3.076 6.958 6.272
O 1.478 0.228 3.890
```